This record from Alexandria via LeMat-Bulk describes a geometry-optimized YZrB2Br structure. The functional is PBE.

```
YZrB2Br
1.0
4.553 0.000 0.000
0.000 4.553 0.000
0.000 0.000 4.998
Y Zr B Br
1 1 2 1
Direct
0.000 0.000 0.000 Y
0.500 0.500 0.000 Zr
0.000 0.500 0.500 B
0.500 0.000 0.500 B
0.000 0.000 0.500 Br
```

uncorrected formation energy: 1.64 eV/atom
density: 4.5 g/cm³
crystal system: tetragonal